FeSiIr2 | PBE | optimized geometry

```
4
Lattice="-1.0131 4.0473 -1.8725 -4.3578 -0.0005 -1.3867 1.9343 -1.1195 3.9898" Properties=species:S:1:pos:R:3 pbc="T T T"
Si -2.6854 2.0234 -1.6296
Fe -0.8821 2.4756 0.2439
Ir 0.0000 0.0000 0.0000
Ir -2.5545 0.4517 0.4868
```

Calculated values
Space group: I-4m2 (119)
DFT total energy (eV/atom): -8.070
Uncorrected formation energy (eV per atom): -0.17